Compound: Ac2RhN
Source: Alexandria via LeMat-Bulk
Functional: PBE
Structure: optimized geometry

Output
**SG**: No. 123
**V**: 87 Å³/cell
**Magnetic moment**: 0.00 μB per formula unit
**Formation energy from raw total energies**: -162 kJ/mol of formula units

Lattice parameters (Å, degrees): 3.459 3.459 7.260 90.00 90.00 90.00
Positions (direct):
Ac 0.000 0.000 0.780
Ac 0.000 0.000 0.220
Rh 0.500 0.500 0.500
N 0.500 0.500 0.000

=====

Compound: Ac4Rh2N
Source: Alexandria via LeMat-Bulk
Functional: PBE
Structure: optimized geometry

Output
**SG**: No. 139
**V**: 208 Å³/cell
**Magnetic moment**: 0.00 μB per formula unit
**Formation energy from raw total energies**: -226 kJ/mol of formula units

Lattice parameters (Å, degrees): 5.119 5.119 8.725 72.94 72.94 90.00
Positions (direct):
Ac 0.693 0.693 0.614
Ac 0.307 0.307 0.386
Ac 0.000 0.500 0.000
Ac 0.500 0.000 0.000
Rh 0.861 0.861 0.279
Rh 0.139 0.139 0.721
N 0.000 0.000 0.000

=====

Look up the V of the first one.
87 Å³/cell

=====

Copy entry 2 word for word.
Compound: Ac4Rh2N
Source: Alexandria via LeMat-Bulk
Functional: PBE
Structure: optimized geometry

Output
**SG**: No. 139
**V**: 208 Å³/cell
**Magnetic moment**: 0.00 μB per formula unit
**Formation energy from raw total energies**: -226 kJ/mol of formula units

Lattice parameters (Å, degrees): 5.119 5.119 8.725 72.94 72.94 90.00
Positions (direct):
Ac 0.693 0.693 0.614
Ac 0.307 0.307 0.386
Ac 0.000 0.500 0.000
Ac 0.500 0.000 0.000
Rh 0.861 0.861 0.279
Rh 0.139 0.139 0.721
N 0.000 0.000 0.000

=====

Among the records above, which one has the lowest V?
Ac2RhN